i:
Here is an optimized crystal structure of GeAsOsAu from the Open Quantum Materials Database. Energies are from PBE-GGA.

Structure (extended XYZ):
```
4
Lattice="0.000 3.213 3.213 3.213 0.000 3.213 3.213 3.213 0.000" Properties=species:S:1:pos:R:3 pbc="T T T"
Ge 0.000 0.000 0.000
As 3.213 3.213 3.213
Os 4.819 4.819 4.819
Au 1.606 1.606 1.606
```

---

ii:
Here is an optimized crystal structure of GeAsOsAu from the Open Quantum Materials Database. Energies are from PBE-GGA.

Structure (extended XYZ):
```
4
Lattice="0.000 3.247 3.247 3.247 0.000 3.247 3.247 3.247 0.000" Properties=species:S:1:pos:R:3 pbc="T T T"
Ge 0.000 0.000 0.000
As 4.870 4.870 4.870
Os 3.247 3.247 3.247
Au 1.623 1.623 1.623
```

---

Quick one: least stable of them? ii